SrSi2As (PBE, optimized geometry); SG = Pmm2, No. 25; final energy = -17.7 eV/cell; formation energy from raw total energies = -54 kJ/mol of formula units; size of the total moment = 0.000 μB per atom; DOS(E_F) = 0.43 states/eV/atom
1.0
-3.650 -2.036 1.238
0.395 -2.823 -3.478
2.739 -3.161 2.879
Sr Si As
1 2 1
direct
0.000 0.500 0.524
0.000 0.000 0.024
0.500 0.999 0.240
0.500 0.000 0.712

***

NaNbBi2F (PBE, optimized geometry); SG = P4/mmm, No. 123; final energy = -20.7 eV/cell; formation energy from raw total energies = 35 kJ/mol of formula units; size of the total moment = 0.402 μB per atom; DOS(E_F) = 0.86 states/eV/atom
1.0
-5.620 -0.537 0.476
0.477 -2.836 2.442
0.010 3.698 4.293
F Bi Nb Na
1 2 1 1
direct
0.000 0.500 0.000
0.000 0.000 0.500
0.500 0.000 0.000
0.500 0.500 0.500
0.000 0.000 0.000

***

Mg2ZrSc2 (PBE, optimized geometry); SG = I4/mmm, No. 139; offset from the most stable computed form = 0.000 eV/atom; final energy = -24.7 eV/cell; size of the total moment = 0.000 μB per atom; DOS(E_F) = 0.74 states/eV/atom; energy of formation from the pure elements = -60 meV/atom
1.0
3.210 0.000 -0.515
-0.083 3.209 -0.515
0.168 0.172 11.308
Sc Zr Mg
2 1 2
direct
0.401 0.401 0.802
0.599 0.599 0.198
0.000 0.000 0.000
0.202 0.202 0.405
0.798 0.798 0.595

***

Mn2IrRh (PBE, optimized geometry); SG = Imm2, No. 44; final energy = -34.6 eV/cell; size of the total moment = 1.769 μB per atom; DOS(E_F) = 0.99 states/eV/atom; energy of formation from the pure elements = -21 meV/atom
1.0
-4.601 -1.204 -1.891
-2.960 -3.290 2.571
2.502 4.464 0.099
Mn Rh Ir
2 1 1
direct
0.249 0.749 0.500
0.999 0.999 0.000
0.494 0.494 0.000
0.758 0.258 0.500

***

SrYMg2Ru (PBE, optimized geometry); SG = P4/mmm, No. 123; final energy = -20.8 eV/cell; size of the total moment = 0.000 μB per atom; DOS(E_F) = 0.84 states/eV/atom; energy of formation from the pure elements = -32 meV/atom
1.0
-3.469 -3.613 -1.701
3.788 -3.690 0.115
-1.229 -1.110 4.865
Sr Y Mg Ru
1 1 2 1
direct
0.500 0.500 0.500
0.000 0.000 0.500
0.000 0.500 0.000
0.500 0.000 0.000
0.000 0.000 0.000

***

Pm6CoRu2I3 (PBE, optimized geometry); SG = C2/m, No. 12; final energy = -66.1 eV/cell; formation energy from raw total energies = -705 kJ/mol of formula units; size of the total moment = 0.000 μB per atom; DOS(E_F) = 0.51 states/eV/atom
1.0
-5.873 0.474 3.928
2.003 -6.260 -2.637
5.664 0.503 6.279
I Pm Ru Co
3 6 2 1
direct
0.832 0.168 0.500
0.500 0.500 0.500
0.168 0.832 0.500
0.610 0.938 0.815
0.062 0.390 0.185
0.390 0.062 0.185
0.268 0.268 0.816
0.732 0.732 0.184
0.938 0.610 0.815
0.667 0.333 0.000
0.333 0.667 0.000
0.000 0.000 0.000

***

Pr2ZnCoC (PBE, optimized geometry); SG = P4/mmm, No. 123; final energy = -28.3 eV/cell; size of the total moment = 0.000 μB per atom; DOS(E_F) = 0.61 states/eV/atom; energy of formation from the pure elements = -223 meV/atom
1.0
3.642 0.000 0.000
0.000 5.299 0.000
0.000 0.000 5.299
Pr Zn C Co
2 1 1 1
direct
0.000 0.500 0.000
0.000 0.000 0.500
0.500 0.500 0.500
0.000 0.000 0.000
0.500 0.000 0.000

***

PmNpTl2S4 (PBE, optimized geometry); SG = P2/m, No. 10; final energy = -48.8 eV/cell; formation energy from raw total energies = -951 kJ/mol of formula units; size of the total moment = 0.500 μB per atom; DOS(E_F) = 1.07 states/eV/atom
1.0
-1.267 -0.775 3.836
4.299 -5.675 0.273
4.081 6.205 2.602
S Tl Pm Np
4 2 1 1
direct
0.500 0.762 0.798
0.000 0.726 0.197
0.000 0.274 0.803
0.500 0.238 0.202
0.000 0.500 0.500
0.500 0.000 0.500
0.000 0.000 0.000
0.500 0.500 0.000